# 1
SCAN Sc4HgW, single point on PBEsol structure; Fermi-level density of states = 0.418 states/eV per atom; size of the total moment = 0.0 μB/f.u.; total DFT energy (no corrections) = -191.70 eV per cell; SG = F-43m (216)
1.0
0.0000 3.8798 3.8798
3.8798 0.0000 3.8798
3.8798 3.8798 0.0000
Sc Hg W
4 1 1
Cartesian
2.9188 2.9188 2.9188 Sc
4.8408 4.8408 2.9188 Sc
4.8408 2.9188 4.8408 Sc
2.9188 4.8408 4.8408 Sc
0.0000 0.0000 0.0000 Hg
5.8197 5.8197 5.8197 W


# 2
SCAN GaCoNF2, single point on PBEsol structure; Fermi-level density of states = 0.080 states/eV per atom; size of the total moment = 3.0 μB/f.u.; SG = P4/mmm (123); formation energy (no corrections) = -0.728 eV/atom
1.0
3.7818 0.0000 0.0000
0.0000 3.7818 0.0000
0.0000 0.0000 3.9396
Ga Co N F
1 1 1 2
Cartesian
0.0000 0.0000 0.0000 Ga
1.8909 1.8909 1.9698 Co
0.0000 0.0000 1.9698 N
0.0000 1.8909 0.0000 F
1.8909 0.0000 0.0000 F


# 3
SCAN AlTc, single point on PBEsol structure; Fermi-level density of states = 0.179 states/eV per atom; size of the total moment = 0.0 μB/f.u.; total DFT energy (no corrections) = -87.65 eV per cell; SG = P4/nmm (129)
1.0
3.0559 0.0000 0.0000
0.0000 3.0559 0.0000
0.0000 0.0000 5.9426
Al Tc
2 2
Cartesian
0.7640 0.7640 0.7932 Al
2.2919 2.2919 5.1494 Al
0.7640 0.7640 3.7531 Tc
2.2919 2.2919 2.1895 Tc


# 4
SCAN Sm2Co5Cu5, single point on PBEsol structure; Fermi-level density of states = 0.648 states/eV per atom; size of the total moment = 6.5 μB/f.u.; total DFT energy (no corrections) = -251.66 eV per cell; SG = Pmmm (47)
1.0
3.9736 0.0000 0.0000
0.0000 4.9471 0.0000
0.0000 0.0000 8.4088
Sm Co Cu
2 5 5
Cartesian
0.0000 0.0000 0.0000 Sm
0.0000 2.4735 4.2044 Sm
0.0000 0.0000 2.8393 Co
0.0000 0.0000 5.5694 Co
0.0000 2.4735 1.2846 Co
0.0000 2.4735 7.1241 Co
1.9868 2.4735 0.0000 Co
1.9868 0.0000 4.2044 Cu
1.9868 1.2365 2.0852 Cu
1.9868 1.2365 6.3236 Cu
1.9868 3.7106 2.0852 Cu
1.9868 3.7106 6.3236 Cu


# 5
SCAN OsSe3Cl, single point on PBEsol structure; Fermi-level density of states = 0.698 states/eV per atom; size of the total moment = 2.8 μB/f.u.; SG = Pm-3m (221); formation energy (no corrections) = 1.983 eV/atom
1.0
4.6537 0.0000 0.0000
0.0000 4.6537 0.0000
0.0000 0.0000 4.6537
Os Se Cl
1 3 1
Cartesian
0.0000 0.0000 0.0000 Os
0.0000 2.3269 2.3269 Se
2.3269 0.0000 2.3269 Se
2.3269 2.3269 0.0000 Se
2.3269 2.3269 2.3269 Cl


# 6
SCAN Cr2Tc, single point on PBEsol structure; Fermi-level density of states = 1.173 states/eV per atom; size of the total moment = 0.0 μB/f.u.; total DFT energy (no corrections) = -143.30 eV per cell; SG = Fd-3m (227)
1.0
0.0000 3.3150 3.3150
3.3150 0.0000 3.3150
3.3150 3.3150 0.0000
Cr Tc
4 2
Cartesian
0.0000 0.0000 0.0000 Cr
1.6575 1.6575 0.0000 Cr
1.6575 0.0000 1.6575 Cr
0.0000 1.6575 1.6575 Cr
2.4862 2.4862 2.4862 Tc
4.1437 4.1437 4.1437 Tc


# 7
SCAN Li3Co3NiO8, single point on PBEsol structure; size of the total moment = 0.0 μB/f.u.; SG = R-3m (166); formation energy (no corrections) = -1.724 eV/atom
1.0
2.7972 1.6149 4.6573
-2.7972 1.6149 4.6573
0.0000 -3.2299 4.6573
Li Co Ni O
3 3 1 8
Cartesian
-1.3986 -0.8075 4.6573 Li
-1.3986 0.8075 9.3145 Li
0.0000 1.6149 4.6573 Li
-2.7972 0.0000 6.9859 Co
-1.3986 0.8075 2.3286 Co
1.3986 0.8075 2.3286 Co
0.0000 0.0000 6.9859 Ni
0.0000 0.0000 3.3330 O
-1.3863 -0.8004 7.9651 O
0.0000 -1.6007 6.0067 O
-1.3863 0.8004 6.0067 O
1.3863 -0.8004 7.9651 O
0.0000 1.6007 7.9651 O
1.3863 0.8004 6.0067 O
0.0000 0.0000 10.6388 O


# 8
SCAN AlPN2, single point on PBEsol structure; Fermi-level density of states = 0.174 states/eV per atom; size of the total moment = 0.0 μB/f.u.; SG = R-3m (166); formation energy (no corrections) = -0.557 eV/atom
1.0
1.4547 0.8399 5.3586
-1.4547 0.8399 5.3586
0.0000 -1.6797 5.3586
Al P N
1 1 2
Cartesian
0.0000 0.0000 0.0000 Al
0.0000 0.0000 8.0379 P
0.0000 0.0000 6.4043 N
0.0000 0.0000 9.6714 N


# 9
SCAN Rb2Ga2F, single point on PBEsol structure; Fermi-level density of states = 0.683 states/eV per atom; size of the total moment = 0.7 μB/f.u.; SG = I4/mmm (139); formation energy (no corrections) = -0.490 eV/atom
1.0
-3.5068 3.5068 3.4860
3.5068 -3.5068 3.4860
3.5068 3.5068 -3.4860
Rb Ga F
2 2 1
Cartesian
3.5068 0.0000 1.7430 Rb
0.0000 3.5068 1.7430 Rb
0.0000 0.0000 1.2781 Ga
0.0000 0.0000 5.6939 Ga
0.0000 0.0000 3.4860 F


# 10
SCAN Cr2CdRu, single point on PBEsol structure; Fermi-level density of states = 0.860 states/eV per atom; size of the total moment = 0.0 μB/f.u.; total DFT energy (no corrections) = -100.11 eV per cell; SG = C2/m (12)
1.0
4.4518 -1.3896 0.0000
4.4518 1.3896 0.0000
-0.8502 0.0000 4.6302
Cr Cd Ru
2 1 1
Cartesian
2.0046 0.0000 0.8197 Cr
6.0489 0.0000 3.8105 Cr
-0.4251 0.0000 2.3151 Cd
4.4518 0.0000 0.0000 Ru


# 11
SCAN Ta2HgRu, single point on PBEsol structure; Fermi-level density of states = 0.712 states/eV per atom; size of the total moment = 0.0 μB/f.u.; total DFT energy (no corrections) = -236.15 eV per cell; SG = Pmmm (47)
1.0
2.9622 0.0000 0.0000
0.0000 3.9838 0.0000
0.0000 0.0000 5.6746
Ta Hg Ru
2 1 1
Cartesian
0.0000 0.0000 1.3070 Ta
0.0000 0.0000 4.3676 Ta
1.4811 1.9919 2.8373 Hg
1.4811 1.9919 0.0000 Ru


# 12
SCAN MgCd2In, single point on PBEsol structure; Fermi-level density of states = 0.329 states/eV per atom; size of the total moment = 0.0 μB/f.u.; total DFT energy (no corrections) = -99.44 eV per cell; SG = Pmmm (47)
1.0
3.3099 0.0000 0.0000
0.0000 4.3257 0.0000
0.0000 0.0000 6.1299
Mg Cd In
1 2 1
Cartesian
0.0000 0.0000 0.0000 Mg
1.6550 2.1629 1.4872 Cd
1.6550 2.1629 4.6427 Cd
0.0000 0.0000 3.0649 In


Question: Number 9 is which compound?
Answer: Rb2Ga2F